(1)
Density functional theory data (GGA-PBE) for LaNd2Ga after structural relaxation.

Summary:
Distance to the lowest polymorph of the same formula (meV per atom): 8
Total DFT energy (no corrections) (eV/atom): -4.619
Magnetization (μB per formula unit): 0.00
Formation energy from the elements (eV/atom): -0.25

a = 4.316 Å, b = 9.460 Å, c = 6.515 Å
α = 90.00°, β = 109.31°, γ = 90.00°
Element x y z (fractional)
La: 0.061 0.250 0.122
La: 0.939 0.750 0.878
Nd: 0.356 0.050 0.713
Nd: 0.356 0.450 0.713
Nd: 0.644 0.550 0.287
Nd: 0.644 0.950 0.287
Ga: 0.246 0.750 0.492
Ga: 0.754 0.250 0.508



(2)
Density functional theory data (GGA-PBE) for Ce2PaFeN5 after structural relaxation.

Summary:
Energy relative to the elements, uncorrected (eV per formula unit): -9.04
Total DFT energy (no corrections) (eV/atom): -8.943
Magnetization (μB per formula unit): 1.99

a = 6.377 Å, b = 6.377 Å, c = 5.694 Å
α = 90.00°, β = 90.00°, γ = 90.00°
Element x y z (fractional)
Ce: 0.165 0.335 0.000
Ce: 0.335 0.835 0.000
Ce: 0.665 0.165 0.000
Ce: 0.835 0.665 0.000
Pa: 0.000 0.000 0.500
Pa: 0.500 0.500 0.500
Fe: 0.000 0.500 0.500
Fe: 0.500 0.000 0.500
N: 0.000 0.000 0.000
N: 0.156 0.656 0.282
N: 0.156 0.656 0.718
N: 0.344 0.156 0.282
N: 0.344 0.156 0.718
N: 0.500 0.500 0.000
N: 0.656 0.844 0.282
N: 0.656 0.844 0.718
N: 0.844 0.344 0.282
N: 0.844 0.344 0.718



(3)
Density functional theory data (GGA-PBE) for YMoRh2 after structural relaxation.

Summary:
Distance to the lowest polymorph of the same formula (meV per atom): 199
Total DFT energy (no corrections) (eV/atom): -8.067
Magnetization (μB per formula unit): 0.00
Formation energy from the elements (eV/atom): -0.07

a = 5.210 Å, b = 5.210 Å, c = 5.210 Å
α = 135.13°, β = 135.13°, γ = 65.32°
Element x y z (fractional)
Y: 0.000 0.000 0.000
Mo: 0.250 0.750 0.500
Rh: 0.500 0.500 0.000
Rh: 0.750 0.250 0.500



(4)
Density functional theory data (GGA-PBE) for LaMoPt2 after structural relaxation.

Summary:
Distance to the lowest polymorph of the same formula (meV per atom): 541
Total DFT energy (no corrections) (eV/atom): -6.926
Magnetization (μB per formula unit): 0.69
Formation energy from the elements (eV/atom): 0.03

a = 10.107 Å, b = 10.107 Å, c = 10.107 Å
α = 16.66°, β = 16.66°, γ = 16.66°
Element x y z (fractional)
La: 0.000 0.000 0.000
Mo: 0.500 0.500 0.500
Pt: 0.241 0.241 0.241
Pt: 0.759 0.759 0.759



(5)
Density functional theory data (GGA-PBE) for ZnNi2Pb after structural relaxation.

Summary:
Total DFT energy (no corrections) (eV/atom): -3.989
Magnetization (μB per formula unit): 0.00
Formation energy from the elements (eV/atom): 0.15

a = 3.174 Å, b = 3.174 Å, c = 6.431 Å
α = 90.00°, β = 90.00°, γ = 90.00°
Element x y z (fractional)
Zn: 0.000 0.000 0.000
Ni: 0.000 0.000 0.377
Ni: 0.500 0.500 0.171
Pb: 0.500 0.500 0.628



(6)
Density functional theory data (GGA-PBE) for MnP2W2 after structural relaxation.

Summary:
Total DFT energy (no corrections) (eV/atom): -9.145
Magnetization (μB per formula unit): 0.00
Formation energy from the elements (eV/atom): 0.03

a = 6.464 Å, b = 6.464 Å, c = 3.240 Å
α = 90.00°, β = 90.00°, γ = 90.00°
Element x y z (fractional)
Mn: 0.000 0.000 0.000
Mn: 0.500 0.500 0.000
P: 0.154 0.346 0.000
P: 0.346 0.846 0.000
P: 0.654 0.154 0.000
P: 0.846 0.654 0.000
W: 0.148 0.648 0.500
W: 0.352 0.148 0.500
W: 0.648 0.852 0.500
W: 0.852 0.352 0.500